GaB2N2 | PBE | optimized geometry

Properties
* density of states at the Fermi level: 0.094 states/eV/atom
* raw formation energy: -230.2 meV per atom
* energy relative to the lowest polymorph listed for this composition: 0 meV/atom
* crystal system: tetragonal
* magnetization: 0.000 μB per atom

a b c (Å): 6.7126 6.7126 2.5607
angles (deg): 90.00 90.00 90.00
Atoms (fractional coordinates):
Ga (0.0000, 0.0000, 0.0000)
Ga (0.5000, 0.5000, 0.0000)
N (0.6570, 0.8430, 0.0000)
N (0.1570, 0.6570, 0.0000)
N (0.8430, 0.3430, 0.0000)
N (0.3430, 0.1570, 0.0000)
B (0.9027, 0.4027, 0.5000)
B (0.0973, 0.5973, 0.5000)
B (0.4027, 0.0973, 0.5000)
B (0.5973, 0.9027, 0.5000)